# 1
Computed, not measured: La2Er2Mg after structural relaxation at the PBE-GGA level of DFT.

Structure (extended XYZ):
```
10
Lattice="-8.2940 -0.5718 -0.4490 0.6677 -3.9552 -7.2959 0.1665 -4.2253 2.3058" Properties=species:S:1:pos:R:3 pbc="T T T"
La -4.7526 -5.8416 -5.3311
La -2.7073 -2.9107 -0.1080
La -0.7373 -4.7755 -3.6673
La -6.7226 -3.9768 -1.7717
Mg -3.8132 -2.2635 -3.8724
Mg 0.0000 0.0000 0.0000
Er -5.2574 -0.9450 -1.3522
Er -2.3689 -3.5819 -6.3927
Er -0.9710 -1.4850 -2.6510
Er -6.6553 -3.0420 -5.0939
```

Total moment ... 0.004 μB/atom
DFT total energy ... -19.75 eV per formula unit
Space group ... P4/mbm


# 2
Computed, not measured: TaTcBiAu after structural relaxation at the PBE-GGA level of DFT.

Structure (extended XYZ):
```
4
Lattice="-1.8970 1.2641 4.1248 -3.6263 -2.4343 1.7707 0.6154 -2.7104 3.8060" Properties=species:S:1:pos:R:3 pbc="T T T"
Ta 0.0000 0.0000 0.0000
Bi -1.2270 -0.9702 2.4254
Tc -2.4539 -1.9403 4.8507
Au -3.6809 -2.9105 7.2761
```

Excess energy over the best structure of this formula in the dataset ... 0 meV/atom
Total moment ... 0.000 μB/atom
Space group ... F-43m


# 3
Computed, not measured: BaSb2Au after structural relaxation at the PBE-GGA level of DFT.

Structure (extended XYZ):
```
4
Lattice="0.0000 3.8867 3.8867 3.8867 0.0000 3.8867 3.8867 3.8867 0.0000" Properties=species:S:1:pos:R:3 pbc="T T T"
Sb 0.0000 0.0000 0.0000
Sb 5.8301 5.8301 5.8301
Au 1.9434 1.9434 1.9434
Ba 3.8867 3.8867 3.8867
```

DFT total energy ... -14.65 eV per formula unit
Space group ... F-43m


# 4
Computed, not measured: CdO after structural relaxation at the PBE-GGA level of DFT.

Structure (extended XYZ):
```
4
Lattice="3.8812 0.0000 0.0000 -1.9406 3.3612 0.0000 0.0000 0.0000 4.7572" Properties=species:S:1:pos:R:3 pbc="T T T"
O 0.0000 2.2408 3.5679
O 1.9406 1.1204 1.1893
Cd 1.9406 1.1204 3.5679
Cd 0.0000 2.2408 1.1893
```

DFT total energy ... -7.89 eV per formula unit
Space group ... P6_3/mmc


# 5
Computed, not measured: RbCdBr3 after structural relaxation at the PBE-GGA level of DFT.

Structure (extended XYZ):
```
10
Lattice="-1.2140 -1.3092 -6.0169 6.4573 -4.8422 -0.2878 -1.4239 -8.4693 2.1068" Properties=species:S:1:pos:R:3 pbc="T T T"
Cd -1.2924 -7.7104 0.0436
Cd 5.1118 -6.9103 -4.2416
Rb 2.1426 -4.5619 -1.1791
Rb 1.6768 -10.0588 -3.0188
Br 3.3564 -10.7367 0.0710
Br -1.7922 -8.1971 -2.7124
Br 0.4630 -3.8840 -4.2690
Br 1.2688 -7.7202 -0.1247
Br 5.6117 -6.4236 -1.4856
Br 2.5507 -6.9005 -4.0733
```

DFT total energy ... -12.97 eV per formula unit
Space group ... P-1


# 6
Computed, not measured: Sr3PmF after structural relaxation at the PBE-GGA level of DFT.

Structure (extended XYZ):
```
5
Lattice="5.5244 0.0000 0.0000 0.0000 5.5244 0.0000 0.0000 0.0000 5.5244" Properties=species:S:1:pos:R:3 pbc="T T T"
F 0.0000 0.0000 0.0000
Sr 2.7622 0.0000 0.0000
Sr 0.0000 2.7622 0.0000
Sr 0.0000 0.0000 2.7622
Pm 2.7622 2.7622 2.7622
```

Total moment ... 0.236 μB/atom
DFT total energy ... -16.13 eV per formula unit
Space group ... Pm-3m


# 7
Computed, not measured: Pm7GeI12 after structural relaxation at the PBE-GGA level of DFT.

Structure (extended XYZ):
```
20
Lattice="8.0298 4.6360 3.5543 -8.0298 4.6360 3.5543 0.0000 -9.2720 3.5543" Properties=species:S:1:pos:R:3 pbc="T T T"
I -1.8918 1.8389 7.0570
I -1.2196 -4.9449 3.5455
I -0.6466 -2.5578 7.0570
I 0.6466 2.5578 3.6060
I 2.5384 0.7189 7.0570
I 3.6726 -3.5287 7.1174
I -2.5384 -0.7189 3.6060
I -3.6726 3.5287 3.5455
I 4.8922 1.4162 3.5455
I 1.8918 -1.8388 3.6060
I -4.8922 -1.4163 7.1174
I 1.2196 4.9449 7.1174
Pm -2.2572 -0.6447 9.0449
Pm -0.5703 -2.2772 1.6180
Pm 1.6870 -1.6325 9.0449
Pm 2.2572 0.6447 1.6180
Pm -1.6870 1.6325 1.6180
Pm 0.0000 0.0000 5.3315
Pm 0.5703 2.2772 9.0449
Ge 0.0000 0.0000 0.0000
```

Total moment ... 0.006 μB/atom
DFT total energy ... -82.67 eV per formula unit
Space group ... R-3


# 8
Computed, not measured: Y2Ho3Er3Te after structural relaxation at the PBE-GGA level of DFT.

Structure (extended XYZ):
```
9
Lattice="-1.8579 -5.5117 -7.1212 3.4530 -3.5210 7.7602 -3.4905 -0.5233 1.3157" Properties=species:S:1:pos:R:3 pbc="T T T"
Er 2.1288 -2.1708 4.7843
Er -1.1454 -3.3980 -4.3904
Er 0.6117 -3.4639 0.2451
Ho -2.2549 -1.7736 -1.2957
Ho -0.7980 -1.2275 2.7867
Ho -0.5877 -6.8165 1.1216
Y -0.0626 -4.4462 3.4576
Y -1.8329 -5.1098 -1.5029
Te 0.0000 0.0000 0.0000
```

Total moment ... 0.009 μB/atom
DFT total energy ... -45.97 eV per formula unit
Space group ... P-62m


# 9
Computed, not measured: Rb2Ni2PdS4 after structural relaxation at the PBE-GGA level of DFT.

Structure (extended XYZ):
```
9
Lattice="0.0000 5.1856 6.8950 2.9781 0.0000 6.8950 2.9781 5.1856 0.0000" Properties=species:S:1:pos:R:3 pbc="T T T"
Ni 1.4891 2.5928 0.0000
Ni 1.4891 2.5928 6.8950
S 2.9781 3.3399 8.3606
S 2.9781 7.0313 5.4294
S 2.9781 3.3399 5.4294
S 2.9781 7.0313 8.3606
Pd 2.9781 5.1856 6.8950
Rb 2.9781 5.1856 11.6166
Rb 2.9781 5.1856 2.1734
```

Total moment ... 0.001 μB/atom
DFT total energy ... -41.23 eV per formula unit
Space group ... Fmmm


# 10
Computed, not measured: Gd2YPb7 after structural relaxation at the PBE-GGA level of DFT.

Structure (extended XYZ):
```
10
Lattice="2.3445 -12.9764 0.0000 2.3445 12.9764 0.0000 0.0000 0.0000 4.7143" Properties=species:S:1:pos:R:3 pbc="T T T"
Pb 0.0000 0.0000 2.3572
Pb 2.3445 -10.4683 0.0000
Pb 2.3445 7.6200 2.3572
Pb 2.3445 10.4683 0.0000
Pb 2.3445 2.5292 2.3572
Pb 2.3445 -7.6200 2.3572
Pb 2.3445 -2.5292 2.3572
Y 2.3445 0.0000 0.0000
Gd 2.3445 4.8988 0.0000
Gd 2.3445 -4.8988 0.0000
```

Total moment ... 0.000 μB/atom
DFT total energy ... -45.38 eV per formula unit
Space group ... Cmmm


# 11
Computed, not measured: SmGa2PdAu after structural relaxation at the PBE-GGA level of DFT.

Structure (extended XYZ):
```
10
Lattice="-3.4039 1.5879 -2.2710 -2.6214 -0.6792 3.4543 2.1052 9.4568 3.4570" Properties=species:S:1:pos:R:3 pbc="T T T"
Au -3.0126 0.4544 0.5917
Au 0.0000 0.0000 0.0000
Sm -0.7734 2.0742 2.6095
Sm -0.1341 7.8369 1.4392
Pd 0.0000 5.5484 3.8796
Pd -0.9075 4.3628 0.1691
Ga -1.9600 5.1828 2.3202
Ga 1.0526 4.7284 1.7285
Ga 0.4965 7.7786 4.6948
Ga -1.4039 2.1326 -0.6461
```

Excess energy over the best structure of this formula in the dataset ... 5 meV/atom
Total moment ... 0.001 μB/atom
Space group ... P4/nmm


# 12
Computed, not measured: HfNb2In after structural relaxation at the PBE-GGA level of DFT.

Structure (extended XYZ):
```
4
Lattice="1.7611 1.8739 4.0713 0.6153 4.7600 0.3908 -2.8588 2.5670 2.9029" Properties=species:S:1:pos:R:3 pbc="T T T"
In -0.2412 4.6005 3.6825
Hf -0.1206 2.3002 1.8412
Nb -0.3618 6.9007 5.5237
Nb 0.0000 0.0000 0.0000
```

Total moment ... 0.003 μB/atom
DFT total energy ... -32.79 eV per formula unit
Space group ... F-43m


# 13
Computed, not measured: Nb2ZnN after structural relaxation at the PBE-GGA level of DFT.

Structure (extended XYZ):
```
24
Lattice="4.7092 -2.7186 0.0000 4.7092 2.7186 0.0000 -3.1393 0.0000 13.5222" Properties=species:S:1:pos:R:3 pbc="T T T"
N 2.3594 1.3508 6.7611
N 3.9195 -1.3508 6.7611
N 3.9291 -1.3508 0.0000
N 2.3546 1.3593 0.0000
N 0.7849 -1.3593 6.7611
N 5.4892 1.3508 0.0000
Nb 7.0642 0.4536 5.5830
Nb 2.3539 -0.4528 12.3203
Nb 3.9236 0.4528 5.5592
Nb -0.7840 -0.4526 12.3438
Nb 3.9250 0.4528 1.2019
Nb -0.7852 -0.4536 7.9392
Nb 5.4934 -0.4526 7.9395
Nb 5.4946 -0.4536 12.3441
Nb 2.3554 -0.4528 7.9630
Nb 7.0630 0.4526 1.1784
Nb 0.7856 0.4526 5.5827
Nb 0.7844 0.4536 1.1781
Zn 3.9610 0.4759 10.1428
Zn 3.9243 2.3089 3.3806
Zn 2.3180 -0.4759 3.3794
Zn 0.7484 0.4759 10.1406
Zn 5.5306 -0.4759 3.3817
Zn 2.3547 -2.3089 10.1417
```

Total moment ... 0.000 μB/atom
DFT total energy ... -31.90 eV per formula unit
Space group ... C2/c


# 14
Computed, not measured: LiHgIr2 after structural relaxation at the PBE-GGA level of DFT.

Structure (extended XYZ):
```
4
Lattice="0.0000 3.1498 3.1498 3.1498 0.0000 3.1498 3.1498 3.1498 0.0000" Properties=species:S:1:pos:R:3 pbc="T T T"
Hg 1.5749 1.5749 1.5749
Li 3.1498 3.1498 3.1498
Ir 0.0000 0.0000 0.0000
Ir 4.7247 4.7247 4.7247
```

Total moment ... 0.326 μB/atom
DFT total energy ... -18.97 eV per formula unit
Space group ... F-43m


# 15
Computed, not measured: MgTaCoSn after structural relaxation at the PBE-GGA level of DFT.

Structure (extended XYZ):
```
4
Lattice="0.0000 3.2482 3.2482 3.2482 0.0000 3.2482 3.2482 3.2482 0.0000" Properties=species:S:1:pos:R:3 pbc="T T T"
Mg 3.2482 3.2482 3.2482
Co 4.8723 4.8723 4.8723
Sn 0.0000 0.0000 0.0000
Ta 1.6241 1.6241 1.6241
```

Excess energy over the best structure of this formula in the dataset ... 77 meV/atom
Total moment ... 0.540 μB/atom
Space group ... F-43m


# 16
Computed, not measured: Dy2Be2GeO7 after structural relaxation at the PBE-GGA level of DFT.

Structure (extended XYZ):
```
24
Lattice="-0.3887 2.5276 6.9273 -3.6133 -6.1124 2.0274 4.1595 -2.1244 1.0085" Properties=species:S:1:pos:R:3 pbc="T T T"
O -0.3634 -5.1413 6.9133
O -0.4500 -0.6176 6.9494
O -1.7412 -3.1019 5.6090
O 1.4735 -2.5209 6.2893
O 2.2705 -0.3857 7.5003
O -1.2023 -4.1672 2.5751
O -2.7303 -3.9879 7.8221
O 0.5515 -0.5281 1.5748
O 0.2232 -6.5167 3.0295
O 1.0201 -4.3814 4.2404
O -0.4376 -1.4140 3.7879
O 1.5839 -4.7878 1.8358
O 0.5746 0.8711 3.6501
O 2.3306 -1.4922 3.4888
Dy -0.6477 -2.9429 7.6662
Dy 1.2766 -0.3761 5.3871
Dy -1.0732 -5.3566 4.5874
Dy 0.7591 -2.7427 2.2859
Be 1.6096 -5.5645 3.1885
Be -0.4315 -0.0106 2.8475
Be 2.3067 -2.0644 7.6862
Be -3.1699 -3.7788 6.2044
Ge 0.0000 0.0000 0.0000
Ge -2.0010 -1.7924 4.4774
```

Total moment ... 0.000 μB/atom
DFT total energy ... -90.57 eV per formula unit
Space group ... P-42_1m


# 17
Computed, not measured: Ta4Nb2Ga3C3 after structural relaxation at the PBE-GGA level of DFT.

Structure (extended XYZ):
```
24
Lattice="-4.3130 3.2554 0.5622 -2.3502 0.5781 4.8640 10.4847 9.2041 0.9444" Properties=species:S:1:pos:R:3 pbc="T T T"
Nb 3.3774 6.9410 3.3448
Nb -2.1887 2.7805 2.1632
Nb 6.0103 10.2571 4.2074
Nb 0.4442 6.0965 3.0258
Ga -1.6656 4.6381 4.2429
Ga 0.5859 3.3323 2.4028
Ga 5.4872 8.3995 2.1277
Ga -1.5422 5.3524 1.1261
Ga 5.3638 7.6852 5.2445
Ga 3.2357 9.7052 3.9678
Ta -4.4151 4.0282 3.9556
Ta 1.1510 8.1887 5.1373
Ta -1.7703 7.4077 4.8347
Ta 0.0158 1.4830 0.3322
Ta 5.5919 5.6298 1.5359
Ta 3.8058 11.5545 6.0384
Ta 8.2366 9.0094 2.4150
Ta 2.6706 4.8489 1.2333
C 4.0673 4.8911 2.9042
C -2.1565 1.6277 0.2811
C 1.8454 6.1646 4.7315
C -4.3903 2.9175 2.0823
C 1.9762 6.8729 1.6391
C -2.2729 0.9159 3.3439
```

Total moment ... 0.000 μB/atom
DFT total energy ... -110.63 eV per formula unit
Space group ... C2/c


# 18
Computed, not measured: Tb2ErNiSn3Pt2 after structural relaxation at the PBE-GGA level of DFT.

Structure (extended XYZ):
```
9
Lattice="3.9194 0.0000 0.0000 0.0000 6.4920 3.7599 0.0000 -6.4920 3.7599" Properties=species:S:1:pos:R:3 pbc="T T T"
Tb 0.0000 2.6359 1.5266
Tb 0.0000 -2.6359 1.5266
Pt 1.9597 2.1424 3.7666
Pt 1.9597 -2.1424 3.7666
Ni 0.0000 0.0000 7.5076
Sn 1.9597 0.0000 1.8683
Sn 1.9597 1.6108 6.5815
Sn 1.9597 -1.6108 6.5815
Er 0.0000 0.0000 4.4736
```

Total moment ... 0.000 μB/atom
DFT total energy ... -52.38 eV per formula unit
Space group ... Amm2


# 19
Computed, not measured: PrSiPPd2 after structural relaxation at the PBE-GGA level of DFT.

Structure (extended XYZ):
```
5
Lattice="5.6266 1.3069 -0.8759 2.7193 3.4477 3.8538 -3.3718 -4.7704 0.0867" Properties=species:S:1:pos:R:3 pbc="T T T"
Pr 8.3259 4.7433 2.9708
Si 5.1650 2.9425 1.8429
Pd 1.7389 0.5152 2.7071
Pd 3.1925 -0.5553 0.3423
P 3.2434 1.8478 1.1573
```

Total moment ... 0.001 μB/atom
DFT total energy ... -30.91 eV per formula unit
Space group ... I4mm


# 20
Computed, not measured: ThCd after structural relaxation at the PBE-GGA level of DFT.

Structure (extended XYZ):
```
2
Lattice="-1.9288 -3.9045 -1.0345 -4.1595 -0.8815 1.3988 -3.3719 -0.1207 -2.9412" Properties=species:S:1:pos:R:3 pbc="T T T"
Th -4.7301 -2.4533 -1.2884
Cd 0.0000 0.0000 0.0000
```

Total moment ... 0.017 μB/atom
DFT total energy ... -7.53 eV per formula unit
Space group ... Fm-3m


# 21
Computed, not measured: Pm3GaO6 after structural relaxation at the PBE-GGA level of DFT.

Structure (extended XYZ):
```
20
Lattice="2.7561 3.1514 5.9993 -6.7849 -1.7799 2.0775 1.8299 -4.9325 1.7504" Properties=species:S:1:pos:R:3 pbc="T T T"
Pm -2.9305 -1.9205 6.0099
Pm -5.0051 -3.3944 3.2395
Pm 3.4692 -1.9536 7.2219
Pm 1.5583 -3.8689 4.6080
Pm -1.3798 -2.4484 2.9012
Pm 0.0077 -3.3410 7.7168
O -4.8067 -1.2769 4.5882
O 0.3742 0.8698 5.1986
O -2.1347 -0.2243 4.1329
O -0.3995 -0.8625 1.5923
O -2.8340 -3.7275 4.3790
O -3.1438 0.0717 7.0939
O -1.9631 -2.2572 8.0783
O 2.3516 -1.5935 4.9939
O -0.4512 -2.2933 5.3240
O -3.5501 -1.7047 2.0690
O 1.0951 -1.1657 7.5131
O 0.7812 -3.1914 2.5767
Ga -3.8314 -0.3059 3.3004
Ga 0.7503 -0.8770 5.6828
```

Total moment ... 0.000 μB/atom
DFT total energy ... -77.67 eV per formula unit
Space group ... Cmc2_1


# 22
Computed, not measured: GaTcOs2 after structural relaxation at the PBE-GGA level of DFT.

Structure (extended XYZ):
```
4
Lattice="-1.6714 -1.1564 3.8434 -3.5418 2.0092 1.5234 -3.7944 -2.1155 0.1725" Properties=species:S:1:pos:R:3 pbc="T T T"
Tc -2.2519 -0.3157 1.3848
Ga -4.5038 -0.6313 2.7696
Os 0.0000 0.0000 0.0000
Os -6.7557 -0.9470 4.1544
```

Total moment ... 0.113 μB/atom
DFT total energy ... -34.79 eV per formula unit
Space group ... F-43m


# 23
Computed, not measured: NdTm2Sb2 after structural relaxation at the PBE-GGA level of DFT.

Structure (extended XYZ):
```
5
Lattice="-1.8124 -4.1830 -1.2375 4.2265 1.3222 -1.6437 3.5353 -3.4097 6.3475" Properties=species:S:1:pos:R:3 pbc="T T T"
Sb 2.9597 -5.0090 3.5810
Sb 2.9897 -1.2614 -0.1147
Tm 1.4997 -3.6008 0.9595
Tm 4.4497 -2.6696 2.5067
Nd 0.0000 0.0000 0.0000
```

Total moment ... 0.012 μB/atom
DFT total energy ... -25.74 eV per formula unit
Space group ... P-3m1